[1]
# Ba2CdSb2, relaxed, DFT GGA-PBE
data_Ba2CdSb2
_cell_length_a 6.7314
_cell_length_b 6.7314
_cell_length_c 14.7040
_cell_angle_alpha 90.00
_cell_angle_beta 90.00
_cell_angle_gamma 90.00
_symmetry_space_group_name_H-M 'I 4/m m m'
_symmetry_Int_Tables_number 139
_symmetry_space_group_name_Hall '-I 4 2'
loop_
_atom_site_label
_atom_site_fract_x
_atom_site_fract_y
_atom_site_fract_z
_atom_site_occupancy
Ba1 0.0000 0.5000 0.2500 1
Cd1 0.0000 0.0000 0.0000 1
Sb1 0.0000 0.0000 0.1832 1
# electronic total energy = -3.208 eV/atom
# crystal system = tetragonal
# E_form (uncorrected) = -0.607 eV/atom
# total magnetic moment = 0.00 μB per atom

***

[2]
# BaCdSb, relaxed, DFT GGA-PBE
data_BaCdSb
_cell_length_a 8.3484
_cell_length_b 4.9137
_cell_length_c 15.3167
_cell_angle_alpha 90.00
_cell_angle_beta 97.15
_cell_angle_gamma 90.00
_symmetry_space_group_name_H-M 'P 1 21/m 1'
_symmetry_Int_Tables_number 11
_symmetry_space_group_name_Hall '-P 2yb'
loop_
_atom_site_label
_atom_site_fract_x
_atom_site_fract_y
_atom_site_fract_z
_atom_site_occupancy
Ba1 0.0387 0.2500 0.1233 1
Ba2 0.1557 0.2500 0.4014 1
Ba3 0.4304 0.7500 0.7903 1
Cd1 0.1198 0.2500 0.7208 1
Cd2 0.3630 0.7500 0.0523 1
Cd3 0.4926 0.2500 0.5894 1
Sb1 0.2722 0.2500 0.9458 1
Sb2 0.2812 0.7500 0.2436 1
Sb3 0.2895 0.7500 0.5619 1
# electronic total energy = -2.976 eV/atom
# crystal system = monoclinic
# E_form (uncorrected) = -0.656 eV/atom
# total magnetic moment = 0.00 μB per atom

***

[3]
# BaCdSb2, relaxed, DFT GGA-PBE
data_BaCdSb2
_cell_length_a 24.5788
_cell_length_b 4.6085
_cell_length_c 4.6946
_cell_angle_alpha 90.00
_cell_angle_beta 90.00
_cell_angle_gamma 90.00
_symmetry_space_group_name_H-M 'P n m a'
_symmetry_Int_Tables_number 62
_symmetry_space_group_name_Hall '-P 2ac 2n'
loop_
_atom_site_label
_atom_site_fract_x
_atom_site_fract_y
_atom_site_fract_z
_atom_site_occupancy
Ba1 0.1136 0.2500 0.2212 1
Cd1 0.2503 0.2500 0.7197 1
Sb1 0.0017 0.2500 0.7039 1
Sb2 0.1743 0.7500 0.7199 1
# electronic total energy = -3.390 eV/atom
# crystal system = orthorhombic
# E_form (uncorrected) = -0.619 eV/atom
# total magnetic moment = 0.00 μB per atom